First-principles (PBE) data for a relaxed structure of Cs2I6BrO, as listed in Alexandria.

abc: 8.525 8.525 8.525
angles: 122.75 122.75 85.29
Positions (direct):
Cs (0.250, 0.750, 0.500)
Cs (0.750, 0.250, 0.500)
I (0.224, 0.224, 0.000)
I (0.289, 0.289, 0.578)
I (0.289, 0.711, 0.000)
I (0.711, 0.289, 0.000)
I (0.711, 0.711, 0.422)
I (0.776, 0.776, 0.000)
Br (0.000, 0.000, 0.000)
O (0.500, 0.500, 0.000)

Values from the calculation:
Symmetry: No. 139
Calculated volume (Å³ per cell): 418
Final energy (eV per atom): -2.204

First-principles (PBE) data for a relaxed structure of LiLa2Cd6Ag, as listed in Alexandria.

abc: 6.924 6.924 7.328
angles: 118.11 118.11 60.08
Positions (direct):
Li (0.000, 0.000, 0.000)
La (0.220, 0.220, 0.661)
La (0.780, 0.780, 0.339)
Cd (0.241, 0.690, 0.173)
Cd (0.242, 0.242, 0.173)
Cd (0.310, 0.759, 0.827)
Cd (0.690, 0.241, 0.173)
Cd (0.758, 0.758, 0.827)
Cd (0.759, 0.310, 0.827)
Ag (0.500, 0.500, 0.500)

Values from the calculation:
Symmetry: No. 12
Formation energy (eV per atom): -0.130
Calculated volume (Å³ per cell): 255

First-principles (PBE) data for a relaxed structure of NbCuAsSe2, as listed in Alexandria.

abc: 4.675 4.675 4.635
angles: 90.00 90.00 90.00
Positions (direct):
Nb (0.000, 0.000, 0.000)
Cu (0.500, 0.500, 0.500)
As (0.500, 0.500, 0.000)
Se (0.000, 0.500, 0.500)
Se (0.500, 0.000, 0.500)

Values from the calculation:
Symmetry: No. 123
Calculated volume (Å³ per cell): 101
Energy above the lowest structure with this stoichiometry (eV/atom): 0.334

First-principles (PBE) data for a relaxed structure of TbPrDyEr2, as listed in Alexandria.

abc: 7.113 7.113 7.189
angles: 90.00 90.00 107.73
Positions (direct):
Tb (0.001, 0.999, 0.750)
Tb (0.999, 0.001, 0.250)
Pr (0.272, 0.728, 0.750)
Pr (0.728, 0.272, 0.250)
Dy (0.278, 0.722, 0.250)
Dy (0.722, 0.278, 0.750)
Er (0.311, 0.311, 0.000)
Er (0.311, 0.311, 0.500)
Er (0.689, 0.689, 0.000)
Er (0.689, 0.689, 0.500)

Values from the calculation:
Symmetry: No. 63
Formation energy (eV per atom): 0.375
Calculated volume (Å³ per cell): 346

First-principles (PBE) data for a relaxed structure of MnBeCr2, as listed in Alexandria.

abc: 4.597 4.597 4.597
angles: 144.34 130.84 62.20
Positions (direct):
Mn (0.000, 0.000, 0.000)
Be (0.500, 0.500, 0.000)
Cr (0.243, 0.743, 0.500)
Cr (0.757, 0.257, 0.500)

Values from the calculation:
Symmetry: No. 71
Formation energy (eV per atom): -0.007
Calculated volume (Å³ per cell): 42

First-principles (PBE) data for a relaxed structure of Na3InSn3, as listed in Alexandria.

abc: 9.064 9.064 5.365
angles: 90.00 90.00 120.00
Positions (direct):
Na (0.095, 0.624, 0.250)
Na (0.376, 0.471, 0.250)
Na (0.471, 0.095, 0.750)
Na (0.529, 0.905, 0.250)
Na (0.624, 0.529, 0.750)
Na (0.905, 0.376, 0.750)
In (0.333, 0.667, 0.750)
In (0.667, 0.333, 0.250)
Sn (0.055, 0.820, 0.750)
Sn (0.180, 0.235, 0.750)
Sn (0.235, 0.055, 0.250)
Sn (0.765, 0.945, 0.750)
Sn (0.820, 0.765, 0.250)
Sn (0.945, 0.180, 0.250)

Values from the calculation:
Symmetry: No. 176
Formation energy (eV per atom): -0.097
Calculated volume (Å³ per cell): 382